(1)
This record from the Alexandria database describes a relaxed structure of MnTe2O5. The functional is PBE+U.

a = 6.217 Å, b = 7.473 Å, c = 11.117 Å
α = 90.00°, β = 90.00°, γ = 90.00°
Atoms (fractional coordinates):
Mn1 0.750 0.000 0.941
Mn2 0.250 0.500 0.559
Mn3 0.250 0.000 0.059
Mn4 0.750 0.500 0.441
Te1 0.018 0.865 0.345
Te2 0.518 0.635 0.155
Te3 0.982 0.365 0.155
Te4 0.482 0.135 0.345
Te5 0.518 0.865 0.655
Te6 0.018 0.635 0.845
Te7 0.482 0.365 0.845
Te8 0.982 0.135 0.655
O1 0.250 0.000 0.437
O2 0.750 0.500 0.063
O3 0.750 0.000 0.563
O4 0.250 0.500 0.937
O5 0.950 0.347 0.565
O6 0.450 0.153 0.935
O7 0.050 0.847 0.935
O8 0.550 0.653 0.565
O9 0.050 0.653 0.435
O10 0.550 0.847 0.065
O11 0.950 0.153 0.065
O12 0.450 0.347 0.435
O13 0.809 0.195 0.789
O14 0.309 0.305 0.711
O15 0.191 0.695 0.711
O16 0.691 0.805 0.789
O17 0.309 0.195 0.211
O18 0.809 0.305 0.289
O19 0.691 0.695 0.289
O20 0.191 0.805 0.211

Calculated values
crystal system: orthorhombic
energy above the most stable polymorph in this dataset: 0.000 eV per atom
space-group type: Pbcn, No. 60
calculated density: 5.0 Mg/m³

(2)
This record from the Alexandria database describes a relaxed structure of MnTeO3. The functional is PBE+U.

a = 5.374 Å, b = 5.374 Å, c = 7.299 Å
α = 68.40°, β = 68.40°, γ = 60.00°
Atoms (fractional coordinates):
Mn1 0.334 0.334 0.997
Mn2 0.666 0.666 0.003
Te1 0.897 0.897 0.309
Te2 0.103 0.103 0.691
O1 0.743 0.382 0.815
O2 0.060 0.743 0.815
O3 0.382 0.060 0.815
O4 0.257 0.618 0.185
O5 0.940 0.257 0.185
O6 0.618 0.940 0.185

Calculated values
crystal system: trigonal
space-group type: R-3, No. 148
calculated density: 4.6 Mg/m³

(3)
This record from the Alexandria database describes a relaxed structure of Mn6Te5O16. The functional is PBE+U.

a = 10.695 Å, b = 11.557 Å, c = 13.414 Å
α = 90.00°, β = 90.00°, γ = 90.00°
Atoms (fractional coordinates):
Mn1 0.930 0.750 0.991
Mn2 0.070 0.250 0.009
Mn3 0.070 0.750 0.491
Mn4 0.430 0.250 0.009
Mn5 0.930 0.250 0.509
Mn6 0.570 0.750 0.991
Mn7 0.570 0.250 0.509
Mn8 0.430 0.750 0.491
Mn9 0.910 0.749 0.729
Mn10 0.090 0.251 0.271
Mn11 0.090 0.751 0.229
Mn12 0.410 0.251 0.271
Mn13 0.910 0.249 0.771
Mn14 0.590 0.749 0.729
Mn15 0.590 0.249 0.771
Mn16 0.410 0.751 0.229
Mn17 0.426 0.986 0.892
Mn18 0.574 0.014 0.108
Mn19 0.574 0.514 0.392
Mn20 0.926 0.014 0.108
Mn21 0.426 0.486 0.608
Mn22 0.074 0.986 0.892
Mn23 0.074 0.486 0.608
Mn24 0.926 0.514 0.392
Te1 0.750 0.800 0.184
Te2 0.250 0.200 0.816
Te3 0.250 0.700 0.684
Te4 0.750 0.300 0.316
Te5 0.750 0.964 0.861
Te6 0.250 0.036 0.139
Te7 0.250 0.536 0.361
Te8 0.750 0.464 0.639
Te9 0.750 0.776 0.494
Te10 0.250 0.224 0.506
Te11 0.250 0.724 0.994
Te12 0.750 0.276 0.006
Te13 0.965 0.994 0.367
Te14 0.035 0.006 0.633
Te15 0.035 0.506 0.867
Te16 0.465 0.006 0.633
Te17 0.965 0.494 0.133
Te18 0.535 0.994 0.367
Te19 0.535 0.494 0.133
Te20 0.465 0.506 0.867
O1 0.924 0.633 0.858
O2 0.076 0.367 0.142
O3 0.076 0.867 0.358
O4 0.424 0.367 0.142
O5 0.924 0.133 0.642
O6 0.576 0.633 0.858
O7 0.576 0.133 0.642
O8 0.424 0.867 0.358
O9 0.438 0.676 0.650
O10 0.562 0.324 0.350
O11 0.562 0.824 0.150
O12 0.938 0.324 0.350
O13 0.438 0.176 0.850
O14 0.062 0.676 0.650
O15 0.062 0.176 0.850
O16 0.938 0.824 0.150
O17 0.750 0.219 0.443
O18 0.250 0.781 0.557
O19 0.250 0.281 0.943
O20 0.750 0.719 0.057
O21 0.750 0.717 0.628
O22 0.250 0.283 0.372
O23 0.250 0.783 0.128
O24 0.750 0.217 0.872
O25 0.886 0.941 0.954
O26 0.114 0.059 0.046
O27 0.114 0.559 0.454
O28 0.386 0.059 0.046
O29 0.886 0.441 0.546
O30 0.614 0.941 0.954
O31 0.614 0.441 0.546
O32 0.386 0.559 0.454
O33 0.750 0.808 0.818
O34 0.250 0.192 0.182
O35 0.250 0.692 0.318
O36 0.750 0.308 0.682
O37 0.952 0.900 0.547
O38 0.048 0.100 0.453
O39 0.048 0.600 0.047
O40 0.452 0.100 0.453
O41 0.952 0.400 0.953
O42 0.548 0.900 0.547
O43 0.548 0.400 0.953
O44 0.452 0.600 0.047
O45 0.982 0.926 0.752
O46 0.018 0.074 0.248
O47 0.018 0.574 0.252
O48 0.482 0.074 0.248
O49 0.982 0.426 0.748
O50 0.518 0.926 0.752
O51 0.518 0.426 0.748
O52 0.482 0.574 0.252
O53 0.386 0.815 0.945
O54 0.614 0.185 0.055
O55 0.614 0.685 0.445
O56 0.886 0.185 0.055
O57 0.386 0.315 0.555
O58 0.114 0.815 0.945
O59 0.114 0.315 0.555
O60 0.886 0.685 0.445
O61 0.750 0.968 0.172
O62 0.250 0.032 0.828
O63 0.250 0.532 0.672
O64 0.750 0.468 0.328

Calculated values
crystal system: orthorhombic
space-group type: Pnma, No. 62
calculated density: 4.9 Mg/m³

(4)
This record from the Alexandria database describes a relaxed structure of MnTeO4. The functional is PBE+U.

a = 3.166 Å, b = 4.864 Å, c = 6.571 Å
α = 47.66°, β = 90.00°, γ = 90.00°
Atoms (fractional coordinates):
Mn1 0.500 0.500 0.000
Te1 0.000 0.500 0.500
O1 0.000 0.498 0.794
O2 0.500 0.860 0.321
O3 0.000 0.502 0.206
O4 0.500 0.140 0.679

Calculated values
crystal system: monoclinic
energy above the most stable polymorph in this dataset: 0.027 eV per atom
space-group type: P2/m, No. 10
calculated density: 5.5 Mg/m³

(5)
This record from the Alexandria database describes a relaxed structure of Mn5Te2O12. The functional is PBE+U.

a = 5.898 Å, b = 6.210 Å, c = 8.061 Å
α = 105.42°, β = 90.00°, γ = 118.35°
Atoms (fractional coordinates):
Mn1 0.287 0.573 0.632
Mn2 0.308 0.616 0.274
Mn3 0.000 0.000 0.500
Mn4 0.692 0.384 0.726
Mn5 0.713 0.427 0.368
Te1 0.755 0.000 0.000
Te2 0.245 0.000 0.000
O1 0.946 0.893 0.133
O2 0.087 0.668 0.836
O3 0.581 0.668 0.836
O4 0.097 0.728 0.455
O5 0.631 0.728 0.455
O6 0.549 0.098 0.864
O7 0.451 0.902 0.136
O8 0.903 0.272 0.545
O9 0.369 0.272 0.545
O10 0.913 0.332 0.164
O11 0.419 0.332 0.164
O12 0.054 0.107 0.867

Calculated values
crystal system: monoclinic
space-group type: C2/m, No. 12
calculated density: 4.8 Mg/m³

(6)
This record from the Alexandria database describes a relaxed structure of MnTeO4. The functional is PBE+U.

a = 4.831 Å, b = 5.670 Å, c = 5.801 Å
α = 111.23°, β = 90.00°, γ = 90.00°
Atoms (fractional coordinates):
Mn1 0.000 0.500 0.500
Mn2 0.500 0.000 0.500
Te1 0.500 0.500 0.000
Te2 0.000 0.000 0.000
O1 0.273 0.819 0.140
O2 0.227 0.319 0.140
O3 0.670 0.626 0.316
O4 0.170 0.874 0.684
O5 0.830 0.126 0.316
O6 0.330 0.374 0.684
O7 0.773 0.681 0.860
O8 0.727 0.181 0.860

Calculated values
crystal system: monoclinic
energy above the most stable polymorph in this dataset: 0.000 eV per atom
space-group type: P2_1/c, No. 14
calculated density: 5.5 Mg/m³

(7)
This record from the Alexandria database describes a relaxed structure of Mn3TeO6. The functional is PBE+U.

a = 6.328 Å, b = 6.328 Å, c = 6.327 Å
α = 90.60°, β = 90.61°, γ = 90.61°
Atoms (fractional coordinates):
Mn1 0.749 0.562 0.052
Mn2 0.438 0.948 0.251
Mn3 0.948 0.252 0.438
Mn4 0.562 0.052 0.749
Mn5 0.052 0.749 0.562
Mn6 0.252 0.438 0.948
Te1 0.500 0.500 0.500
Te2 0.000 0.000 0.000
O1 0.431 0.795 0.565
O2 0.795 0.565 0.431
O3 0.565 0.431 0.795
O4 0.569 0.205 0.435
O5 0.205 0.435 0.569
O6 0.435 0.569 0.205
O7 0.916 0.045 0.705
O8 0.045 0.705 0.916
O9 0.705 0.916 0.045
O10 0.084 0.955 0.295
O11 0.955 0.295 0.084
O12 0.295 0.084 0.955

Calculated values
crystal system: trigonal
energy above the most stable polymorph in this dataset: 0.000 eV per atom
space-group type: R-3, No. 148
calculated density: 5.1 Mg/m³

(8)
This record from the Alexandria database describes a relaxed structure of Mn3TeO8. The functional is PBE+U.

a = 6.123 Å, b = 6.123 Å, c = 6.123 Å
α = 58.90°, β = 58.90°, γ = 58.90°
Atoms (fractional coordinates):
Mn1 0.000 0.500 0.500
Mn2 0.500 0.000 0.500
Mn3 0.500 0.500 0.000
Te1 0.500 0.500 0.500
O1 0.276 0.276 0.276
O2 0.271 0.271 0.713
O3 0.271 0.713 0.271
O4 0.713 0.271 0.271
O5 0.287 0.729 0.729
O6 0.729 0.287 0.729
O7 0.729 0.729 0.287
O8 0.724 0.724 0.724

Calculated values
crystal system: trigonal
space-group type: R-3m, No. 166
calculated density: 4.4 Mg/m³

How do the records compare in electronic total energy? In the order shown, they have -194.0, -64.2, -709.0, -37.7, -127.1, -75.8, -140.7, -79.6 eV/cell.